This record from the Alexandria database describes SmTmHg after structural relaxation. The functional is PBE-GGA.

Summary:
For the excess energy over the best structure of this formula in the dataset, the calculation gives 0.655 eV per formula unit. Its density of states at the Fermi level is 1.308 states/eV/atom. For the volume, the calculation gives 31.634 Å³/atom. Its energy of formation from the pure elements is -0.103 eV per atom. The calculation puts the total DFT energy (no corrections) at -3.267 eV/atom.

Cell lengths 7.2407, 7.2407, 7.2407 Å; angles 90.00, 90.00, 90.00 degrees
Space group F-43m (No. 216)
One atom of each set of equivalent atoms:
Sm  0.0000  0.0000  0.0000 (multiplicity 4)
Tm  0.0000  0.0000  0.5000 (multiplicity 4)
Hg  0.2500  0.2500  0.7500 (multiplicity 4)



This record from the Alexandria database describes Sm3Tm2Hg7 after structural relaxation. The functional is PBE-GGA.

Summary:
Its density of states at the Fermi level is 0.628 states/eV/atom. For the volume, the calculation gives 27.258 Å³/atom. Its energy of formation from the pure elements is -0.320 eV per atom. The calculation puts the total DFT energy (no corrections) at -2.421 eV/atom.

Cell lengths 5.1672, 22.9022, 5.5280 Å; angles 90.00, 90.00, 90.00 degrees
Space group Cmmm (No. 65)
One atom of each set of equivalent atoms:
Sm  0.0000  0.0000  0.0000 (multiplicity 2)
Sm  0.0000  0.1696  0.0000 (multiplicity 4)
Tm  0.0000  0.3574  0.5000 (multiplicity 4)
Hg  0.0000  0.0762  0.5000 (multiplicity 4)
Hg  0.0000  0.2237  0.5000 (multiplicity 4)
Hg  0.0000  0.4124  0.0000 (multiplicity 4)
Hg  0.0000  0.5000  0.5000 (multiplicity 2)



This record from the Alexandria database describes Sm3TmHg5 after structural relaxation. The functional is PBE-GGA.

Summary:
Its density of states at the Fermi level is 0.936 states/eV/atom. For the volume, the calculation gives 26.767 Å³/atom. Its energy of formation from the pure elements is -0.427 eV per atom. The calculation puts the total DFT energy (no corrections) at -2.664 eV/atom.

Cell lengths 9.1954, 9.1954, 6.5796 Å; angles 90.00, 90.00, 120.00 degrees
Space group P6_3/mcm (No. 193)
One atom of each set of equivalent atoms:
Sm  0.0000  0.3710  0.2500 (multiplicity 6)
Tm  0.0000  0.0000  0.0000 (multiplicity 2)
Hg  0.0000  0.2934  0.7500 (multiplicity 6)
Hg  0.3333  0.6667  0.0000 (multiplicity 4)



This record from the Alexandria database describes Sm4TmHg2 after structural relaxation. The functional is PBE-GGA.

Summary:
Its density of states at the Fermi level is 1.107 states/eV/atom. For the volume, the calculation gives 29.710 Å³/atom. Its energy of formation from the pure elements is -0.162 eV per atom. The calculation puts the total DFT energy (no corrections) at -3.584 eV/atom.

Cell lengths 6.2623, 8.2934, 8.8304 Å; angles 98.33, 103.41, 106.77 degrees
Space group P1 (No. 1)
One atom of each set of equivalent atoms:
Sm  0.0000  0.0000  0.0000 (multiplicity 1)
Sm  0.0045  0.8473  0.6063 (multiplicity 1)
Sm  0.1744  0.4202  0.2092 (multiplicity 1)
Sm  0.2302  0.3412  0.8265 (multiplicity 1)
Sm  0.2783  0.8779  0.3175 (multiplicity 1)
Sm  0.4122  0.7916  0.9699 (multiplicity 1)
Sm  0.6224  0.0935  0.7159 (multiplicity 1)
Sm  0.7998  0.3817  0.4691 (multiplicity 1)
Tm  0.4443  0.6382  0.5997 (multiplicity 1)
Tm  0.8246  0.5507  0.9040 (multiplicity 1)
Hg  0.2863  0.2401  0.4903 (multiplicity 1)
Hg  0.5637  0.2083  0.0690 (multiplicity 1)
Hg  0.7091  0.6256  0.2347 (multiplicity 1)
Hg  0.7982  0.0176  0.3217 (multiplicity 1)



This record from the Alexandria database describes SmTmHg2 after structural relaxation. The functional is PBE-GGA.

Summary:
For the excess energy over the best structure of this formula in the dataset, the calculation gives 0.000 eV per formula unit. Its density of states at the Fermi level is 0.836 states/eV/atom. For the volume, the calculation gives 26.046 Å³/atom. Its energy of formation from the pure elements is -0.478 eV per atom. The calculation puts the total DFT energy (no corrections) at -2.927 eV/atom.

Cell lengths 3.6941, 3.6941, 7.6345 Å; angles 90.00, 90.00, 90.00 degrees
Space group P4/mmm (No. 123)
One atom of each set of equivalent atoms:
Sm  0.0000  0.0000  0.0000 (multiplicity 1)
Tm  0.0000  0.0000  0.5000 (multiplicity 1)
Hg  0.5000  0.5000  0.2675 (multiplicity 2)



This record from the Alexandria database describes Sm5Tm2Hg4 after structural relaxation. The functional is PBE-GGA.

Summary:
Its density of states at the Fermi level is 1.265 states/eV/atom. For the volume, the calculation gives 30.394 Å³/atom. Its energy of formation from the pure elements is -0.115 eV per atom. The calculation puts the total DFT energy (no corrections) at -3.183 eV/atom.

Cell lengths 24.8509, 3.5314, 7.6276 Å; angles 90.00, 92.66, 90.00 degrees
Space group C2/m (No. 12)
One atom of each set of equivalent atoms:
Sm  0.0000  0.0000  0.0000 (multiplicity 2)
Sm  0.1398  0.5000  0.1307 (multiplicity 4)
Sm  0.2334  0.5000  0.7869 (multiplicity 4)
Tm  0.0924  0.5000  0.6943 (multiplicity 4)
Hg  0.0322  0.5000  0.3365 (multiplicity 4)
Hg  0.1671  0.0000  0.4758 (multiplicity 4)